# PaTiCo2As2

A geometry-optimized PaTiCo2As2 structure (PBE-GGA, Alexandria via LeMat-Bulk).

a b c (Å): 3.9218 3.9218 7.2583
angles (deg): 90.00 90.00 120.00
Closest atoms and distances in Å follow each position.
Element x y z (fractional)
1 Pa 0.0000 0.0000 0.0000  6 Co 2.84, 6 As 3.10
2 Ti 0.0000 0.0000 0.5000  6 As 2.72, 6 Co 2.97
3 Co 0.3333 0.6667 0.7638  3 As 2.30
4 Co 0.6667 0.3333 0.2362  3 As 2.30
5 As 0.3333 0.6667 0.2919  3 Co 2.30
6 As 0.6667 0.3333 0.7081  3 Co 2.30

Summary:
Calculated formation energy, meV per atom: -718

---

# CaTe2Au

A geometry-optimized CaTe2Au structure (PBE-GGA, Alexandria via LeMat-Bulk).

a b c (Å): 4.2907 4.9063 5.9228
angles (deg): 90.00 107.29 90.00
Closest atoms and distances in Å follow each position.
Element x y z (fractional)
1 Ca 0.0000 0.0000 0.0000  7 Te 3.18-3.35, 2 Au 3.55
2 Te 0.2969 0.0000 0.5597  2 Au 2.68
3 Te 0.5539 0.5000 0.1031  2 Au 2.92-3.00
4 Au 0.5600 0.5000 0.5981  4 Te 2.68-3.00

Summary:
Formation energy (no corrections), eV per atom: -0.708

---

# TcNi2Au

A geometry-optimized TcNi2Au structure (PBE-GGA, Alexandria via LeMat-Bulk).

a b c (Å): 2.6956 3.6154 5.5897
angles (deg): 90.00 90.00 90.00
Closest atoms and distances in Å follow each position.
Element x y z (fractional)
1 Tc 0.0000 0.0000 0.0000  8 Ni 2.57, 2 Tc 2.70, 2 Au 2.79
2 Ni 0.5000 0.5000 0.2209  3 Ni 2.47-2.70, 4 Tc 2.57, 4 Au 2.74
3 Ni 0.5000 0.5000 0.7791  3 Ni 2.47-2.70, 4 Tc 2.57, 4 Au 2.74
4 Au 0.0000 0.0000 0.5000  2 Au 2.70, 8 Ni 2.74, 2 Tc 2.79

Summary:
Calculated formation energy, meV per atom: 110

---

# Pu3Ga2Pt7

A geometry-optimized Pu3Ga2Pt7 structure (PBE-GGA, Alexandria via LeMat-Bulk).

a b c (Å): 9.0483 9.0483 9.0483
angles (deg): 35.60 35.60 35.60
Closest atoms and distances in Å follow each position.
Element x y z (fractional)
1 Pu 0.0000 0.0000 0.0000  6 Ga 3.19, 12 Pt 3.43
2 Pu 0.1420 0.1420 0.1420  12 Pt 3.19-3.25, 3 Pu 3.43
3 Pu 0.8580 0.8580 0.8580  12 Pt 3.19-3.25, 3 Pu 3.43
4 Ga 0.3330 0.3330 0.3330  6 Pt 2.57-2.59
5 Ga 0.6670 0.6670 0.6670  6 Pt 2.57-2.59
6 Pt 0.0782 0.5805 0.5805  2 Ga 2.57-2.59, 5 Pt 2.73-2.78
7 Pt 0.4195 0.4195 0.9218  2 Ga 2.57-2.59, 5 Pt 2.73-2.78
8 Pt 0.4195 0.9218 0.4195  2 Ga 2.57-2.59, 5 Pt 2.73-2.78
9 Pt 0.5000 0.5000 0.5000  6 Pt 2.73
10 Pt 0.5805 0.0782 0.5805  2 Ga 2.57-2.59, 5 Pt 2.73-2.78
11 Pt 0.5805 0.5805 0.0782  2 Ga 2.57-2.59, 5 Pt 2.73-2.78
12 Pt 0.9218 0.4195 0.4195  2 Ga 2.57-2.59, 5 Pt 2.73-2.78

Summary:
Calculated formation energy, meV per atom: -789

---

# Tl4Hg3

A geometry-optimized Tl4Hg3 structure (PBE-GGA, Alexandria via LeMat-Bulk).

a b c (Å): 24.7146 4.1068 4.1265
angles (deg): 90.00 98.93 90.00
Closest atoms and distances in Å follow each position.
Element x y z (fractional)
1 Tl 0.0712 0.0000 0.0703  5 Hg 3.38-3.55, 5 Tl 3.45-3.48
2 Tl 0.1477 0.5000 0.6453  6 Hg 3.31-3.61, 4 Tl 3.45-3.47
3 Tl 0.3523 0.0000 0.3547  6 Hg 3.31-3.61, 4 Tl 3.45-3.47
4 Tl 0.4288 0.5000 0.9297  5 Hg 3.38-3.55, 5 Tl 3.45-3.48
5 Tl 0.5712 0.5000 0.0703  5 Hg 3.38-3.55, 5 Tl 3.45-3.48
6 Tl 0.6477 0.0000 0.6453  6 Hg 3.31-3.61, 4 Tl 3.45-3.47
7 Tl 0.8523 0.5000 0.3547  6 Hg 3.31-3.61, 4 Tl 3.45-3.47
8 Tl 0.9288 0.0000 0.9297  5 Hg 3.38-3.55, 5 Tl 3.45-3.48
9 Hg 0.0000 0.5000 0.5000  10 Tl 3.38-3.61
10 Hg 0.2167 0.0000 0.2138  4 Hg 3.31-3.36, 6 Tl 3.31-3.55
11 Hg 0.2833 0.5000 0.7862  4 Hg 3.31-3.36, 6 Tl 3.31-3.55
12 Hg 0.5000 0.0000 0.5000  10 Tl 3.38-3.61
13 Hg 0.7167 0.5000 0.2138  4 Hg 3.31-3.36, 6 Tl 3.31-3.55
14 Hg 0.7833 0.0000 0.7862  4 Hg 3.31-3.36, 6 Tl 3.31-3.55

Summary:
Calculated formation energy, meV per atom: 0

---

# Y2PaTl2S6

A geometry-optimized Y2PaTl2S6 structure (PBE-GGA, Alexandria via LeMat-Bulk).

a b c (Å): 6.9640 6.9640 7.9508
angles (deg): 98.50 98.50 119.98
Closest atoms and distances in Å follow each position.
Element x y z (fractional)
1 Y 0.1663 0.8337 0.0000  6 S 2.76-2.77
2 Y 0.8337 0.1663 0.0000  6 S 2.76-2.77
3 Pa 0.5000 0.5000 0.0000  6 S 2.72
4 Tl 0.3319 0.6681 0.5000  6 S 3.27-3.29
5 Tl 0.6681 0.3319 0.5000  6 S 3.27-3.29
6 S 0.1067 0.4369 0.8060  1 Pa 2.72, 2 Y 2.76-2.77
7 S 0.2389 0.2389 0.1952  1 Pa 2.72, 2 Y 2.77
8 S 0.4369 0.1067 0.8060  1 Pa 2.72, 2 Y 2.76-2.77
9 S 0.5631 0.8933 0.1940  1 Pa 2.72, 2 Y 2.76-2.77
10 S 0.7611 0.7611 0.8048  1 Pa 2.72, 2 Y 2.77
11 S 0.8933 0.5631 0.1940  1 Pa 2.72, 2 Y 2.76-2.77

Summary:
Formation energy (no corrections), eV per atom: -1.524

---

# Ag2SnAu2

A geometry-optimized Ag2SnAu2 structure (PBE-GGA, Alexandria via LeMat-Bulk).

a b c (Å): 3.9341 3.9341 13.7940
angles (deg): 90.00 90.00 90.00
Closest atoms and distances in Å follow each position.
Element x y z (fractional)
1 Ag 0.0000 0.0000 0.0993  1 Ag 2.74, 4 Au 2.86
2 Ag 0.0000 0.0000 0.9007  1 Ag 2.74, 4 Au 2.86
3 Ag 0.5000 0.5000 0.4007  1 Ag 2.74, 4 Au 2.86
4 Ag 0.5000 0.5000 0.5993  1 Ag 2.74, 4 Au 2.86
5 Sn 0.0000 0.0000 0.5000  8 Ag 3.10
6 Sn 0.5000 0.5000 0.0000  8 Ag 3.10
7 Au 0.0000 0.5000 0.2500  4 Au 2.78, 4 Ag 2.86
8 Au 0.0000 0.5000 0.7500  4 Au 2.78, 4 Ag 2.86
9 Au 0.5000 0.0000 0.2500  4 Au 2.78, 4 Ag 2.86
10 Au 0.5000 0.0000 0.7500  4 Au 2.78, 4 Ag 2.86

Summary:
Calculated formation energy, meV per atom: 100

---

# Dy2PuGa

A geometry-optimized Dy2PuGa structure (PBE-GGA, Alexandria via LeMat-Bulk).

a b c (Å): 4.7609 4.7609 4.4943
angles (deg): 90.00 90.00 90.00
Closest atoms and distances in Å follow each position.
Element x y z (fractional)
1 Dy 0.0000 0.5000 0.0000  4 Pu 3.27, 4 Ga 3.27, 4 Dy 3.37
2 Dy 0.5000 0.0000 0.0000  4 Pu 3.27, 4 Ga 3.27, 4 Dy 3.37
3 Pu 0.0000 0.0000 0.5000  8 Dy 3.27, 4 Ga 3.37
4 Ga 0.5000 0.5000 0.5000  8 Dy 3.27, 4 Pu 3.37

Summary:
Calculated formation energy, meV per atom: -148

---

# TlCrTc2Ir

A geometry-optimized TlCrTc2Ir structure (PBE-GGA, Alexandria via LeMat-Bulk).

a b c (Å): 4.8317 4.8317 4.6344
angles (deg): 90.00 90.00 90.00
Closest atoms and distances in Å follow each position.
Element x y z (fractional)
1 Tl 0.0000 0.0000 0.0000  2 Cr 2.32, 4 Tc 2.42
2 Cr 0.0000 0.0000 0.5000  2 Tl 2.32
3 Tc 0.0000 0.5000 0.0000  2 Tl 2.42
4 Tc 0.5000 0.0000 0.0000  2 Tl 2.42
5 Ir 0.5000 0.5000 0.5000  8 Tc 3.35, 4 Cr 3.42

Summary:
Calculated formation energy, meV per atom: 2957

---

# Pm2MgAu

A geometry-optimized Pm2MgAu structure (PBE-GGA, Alexandria via LeMat-Bulk).

a b c (Å): 3.7926 3.7926 7.4200
angles (deg): 90.00 90.00 90.00
Closest atoms and distances in Å follow each position.
Element x y z (fractional)
1 Pm 0.0000 0.0000 0.2360  4 Au 3.20, 4 Mg 3.32, 1 Pm 3.50
2 Pm 0.0000 0.0000 0.7640  4 Au 3.20, 4 Mg 3.32, 1 Pm 3.50
3 Mg 0.5000 0.5000 0.5000  8 Pm 3.32, 2 Au 3.71
4 Au 0.5000 0.5000 0.0000  8 Pm 3.20

Summary:
Calculated formation energy, meV per atom: -442

---

# KTa4Rh

A geometry-optimized KTa4Rh structure (PBE-GGA, Alexandria via LeMat-Bulk).

a b c (Å): 5.5677 5.5677 5.5677
angles (deg): 60.00 60.00 60.00
Closest atoms and distances in Å follow each position.
Element x y z (fractional)
1 K 0.0000 0.0000 0.0000  12 Ta 3.26, 4 Rh 3.41
2 Ta 0.3753 0.3753 0.3753  6 Ta 2.78-2.79
3 Ta 0.3753 0.3753 0.8742  6 Ta 2.78-2.79
4 Ta 0.3753 0.8742 0.3753  6 Ta 2.78-2.79
5 Ta 0.8742 0.3753 0.3753  6 Ta 2.78-2.79
6 Rh 0.7500 0.7500 0.7500  12 Ta 3.26, 4 K 3.41

Summary:
Calculated formation energy, meV per atom: 951

---

# TbZrIrO6

A geometry-optimized TbZrIrO6 structure (PBE-GGA, Alexandria via LeMat-Bulk).

a b c (Å): 5.3302 5.3302 9.9029
angles (deg): 90.00 90.00 120.00
Closest atoms and distances in Å follow each position.
Element x y z (fractional)
1 Tb 0.0000 0.0000 0.0000  6 O 2.31
2 Tb 0.0000 0.0000 0.5000  6 O 2.31
3 Zr 0.3333 0.6667 0.2500  6 O 2.12
4 Zr 0.6667 0.3333 0.7500  6 O 2.12
5 Ir 0.3333 0.6667 0.7500  6 O 2.00
6 Ir 0.6667 0.3333 0.2500  6 O 2.00
7 O 0.0185 0.3601 0.6375  1 Ir 2.00, 1 Zr 2.12
8 O 0.0185 0.6584 0.8625  1 Ir 2.00, 1 Zr 2.12
9 O 0.3416 0.3601 0.8625  1 Ir 2.00, 1 Zr 2.12
10 O 0.3416 0.9815 0.6375  1 Ir 2.00, 1 Zr 2.12
11 O 0.3601 0.0185 0.1375  1 Ir 2.00, 1 Zr 2.12
12 O 0.3601 0.3416 0.3625  1 Ir 2.00, 1 Zr 2.12
13 O 0.6399 0.6584 0.6375  1 Ir 2.00, 1 Zr 2.12
14 O 0.6399 0.9815 0.8625  1 Ir 2.00, 1 Zr 2.12
15 O 0.6584 0.0185 0.3625  1 Ir 2.00, 1 Zr 2.12
16 O 0.6584 0.6399 0.1375  1 Ir 2.00, 1 Zr 2.12
17 O 0.9815 0.3416 0.1375  1 Ir 2.00, 1 Zr 2.12
18 O 0.9815 0.6399 0.3625  1 Ir 2.00, 1 Zr 2.12

Summary:
Formation energy (no corrections), eV per atom: -2.298